Cu5S4N2 | PBE | optimized geometry

POSCAR file:
```
Cu5S4N2
1.0
3.797 0.000 0.000
-1.069 6.874 0.000
-1.781 -1.691 6.570
Cu S N
5 4 2
Cartesian
0.000 0.000 0.000
-0.446 4.872 3.832
-0.379 2.770 5.574
1.325 2.413 0.996
1.393 0.311 2.738
-0.585 1.254 1.765
-0.245 5.148 1.606
1.191 0.035 4.964
1.531 3.929 4.805
0.018 0.855 5.611
0.928 4.328 0.959
```

Computed properties:
ΔE_f (raw)	226.8	meV per atom
calculated volume	171.49	Å³/cell